No. 1
Here is a geometry-optimized Rb3InI6 structure from Alexandria via LeMat-Bulk. Energies are from PBE.

Computed properties:
Polymorph energy (0 for the lowest one): 0.060 eV per atom
Density of states at the Fermi level: 0.00 states/eV per cell

a b c (Å): 12.7952 12.7952 12.7952
angles (deg): 90.00 90.00 90.00
Closest atoms and distances in Å follow each position.
Space group Fm-3m (No. 225)
Inequivalent atoms, fractional coordinates:
Rb 0.0000 0.0000 0.0000  6 I 3.46
Rb 0.2500 0.2500 0.2500  12 I 4.53
In 0.0000 0.0000 0.5000  6 I 2.94
I 0.0000 0.0000 0.2705  1 In 2.94

=====

No. 2
Here is a geometry-optimized Rb2InI7 structure from Alexandria via LeMat-Bulk. Energies are from PBE.

Computed properties:
Density of states at the Fermi level: 9.11 states/eV per cell

a b c (Å): 8.7409 8.7409 12.9630
angles (deg): 90.00 90.00 90.00
Closest atoms and distances in Å follow each position.
Space group I4/mmm (No. 139)
Inequivalent atoms, fractional coordinates:
Rb 0.0000 0.5000 0.2500  12 I 4.38-4.48
In 0.0000 0.0000 0.0000  6 I 2.95-2.96
I 0.0000 0.0000 0.2274  1 In 2.95
I 0.0000 0.0000 0.5000  6 I 3.22-3.53
I 0.2396 0.2396 0.0000  1 In 2.96, 1 I 3.22

=====

No. 3
Here is a geometry-optimized Rb5InI7 structure from Alexandria via LeMat-Bulk. Energies are from PBE.

Computed properties:
Density of states at the Fermi level: 2.68 states/eV per cell

a b c (Å): 5.4344 31.5143 9.1022
angles (deg): 90.00 107.24 90.00
Closest atoms and distances in Å follow each position.
Space group Pm (No. 6)
Inequivalent atoms, fractional coordinates:
Rb 0.0000 0.1106 0.0000  5 I 3.65-3.72
Rb 0.0566 0.3893 0.1290  5 I 3.65-3.72
Rb 0.2577 0.1781 0.5193  6 I 3.73-3.87
Rb 0.5283 0.2499 0.0643  6 I 3.66-3.79
Rb 0.7990 0.3217 0.6093  6 I 3.73-3.87
In 0.2685 0.0000 0.5296  4 I 2.93-2.95
In 0.7890 0.5000 0.5988  4 I 2.93-2.95
I 0.1636 0.2870 0.3368  6 Rb 3.70-3.79
I 0.3543 0.5000 0.7303  2 In 2.95
I 0.3736 0.0720 0.7436  1 In 2.93
I 0.4329 0.3541 0.8787  5 Rb 3.65-3.73
I 0.6238 0.1457 0.2499  5 Rb 3.65-3.73
I 0.6835 0.4280 0.3850  1 In 2.93
I 0.7033 0.0000 0.3981  2 In 2.95
I 0.8930 0.2129 0.7918  6 Rb 3.70-3.79

=====

No. 4
Here is a geometry-optimized RbIn2I3 structure from Alexandria via LeMat-Bulk. Energies are from PBE.

Computed properties:
Polymorph energy (0 for the lowest one): 0.137 eV per atom
Density of states at the Fermi level: 3.04 states/eV per cell

a b c (Å): 12.4086 16.0280 6.2241
angles (deg): 90.00 90.00 90.00
Closest atoms and distances in Å follow each position.
Space group Cmcm (No. 63)
Inequivalent atoms, fractional coordinates:
Rb 0.0000 0.1752 0.2500  6 I 3.94-4.01
In 0.1381 0.5000 0.0000  3 In 3.11-3.43, 2 I 3.20
I 0.0000 0.3261 0.7500  4 In 3.62, 2 Rb 3.94
I 0.1811 0.1039 0.7500  2 In 3.20

=====

No. 5
Here is a geometry-optimized Rb3InI4 structure from Alexandria via LeMat-Bulk. Energies are from PBE.

Computed properties:
Polymorph energy (0 for the lowest one): 0.036 eV per atom
Density of states at the Fermi level: 0.00 states/eV per cell

a b c (Å): 12.6021 10.7298 7.3450
angles (deg): 90.00 90.00 90.00
Closest atoms and distances in Å follow each position.
Space group Pmn2_1 (No. 31)
Inequivalent atoms, fractional coordinates:
Rb 0.0000 0.1596 0.0000  5 I 3.61-3.68
Rb 0.2471 0.3307 0.4992  5 I 3.61-3.68
In 0.0000 0.8265 0.4926  4 I 3.34-3.50
I 0.0000 0.1498 0.4997  1 In 3.47, 4 Rb 3.67-3.68
I 0.0000 0.8244 0.0378  1 In 3.34, 3 Rb 3.61
I 0.2452 0.6727 0.4991  1 In 3.50, 4 Rb 3.67-3.68

=====

No. 6
Here is a geometry-optimized Rb2InReI6 structure from Alexandria via LeMat-Bulk. Energies are from PBE.

Computed properties:
Density of states at the Fermi level: 36.23 states/eV per cell

a b c (Å): 12.0365 12.0365 12.0365
angles (deg): 90.00 90.00 90.00
Closest atoms and distances in Å follow each position.
Space group Fm-3m (No. 225)
Inequivalent atoms, fractional coordinates:
Rb 0.2500 0.2500 0.2500  12 I 4.26
In 0.0000 0.0000 0.0000  6 I 3.26
Re 0.0000 0.0000 0.5000  6 I 2.76
I 0.0000 0.0000 0.2711  1 Re 2.76

=====

No. 7
Here is a geometry-optimized Rb2InRhI6 structure from Alexandria via LeMat-Bulk. Energies are from PBE.

Computed properties:
Density of states at the Fermi level: 0.00 states/eV per cell

a b c (Å): 11.7706 11.7706 11.7706
angles (deg): 90.00 90.00 90.00
Closest atoms and distances in Å follow each position.
Space group Fm-3m (No. 225)
Inequivalent atoms, fractional coordinates:
Rb 0.2500 0.2500 0.2500  12 I 4.17
In 0.0000 0.0000 0.0000  6 I 3.16
Rh 0.0000 0.0000 0.5000  6 I 2.73
I 0.0000 0.0000 0.2685  1 Rh 2.73

=====

No. 8
Here is a geometry-optimized RbInRhI2 structure from Alexandria via LeMat-Bulk. Energies are from PBE.

Computed properties:
Density of states at the Fermi level: 2.80 states/eV per cell

a b c (Å): 6.3853 6.3853 5.1738
angles (deg): 90.00 90.00 90.00
Closest atoms and distances in Å follow each position.
Space group P4/mmm (No. 123)
Inequivalent atoms, fractional coordinates:
Rb 0.0000 0.0000 0.0000  8 I 4.11, 4 Rh 4.52
In 0.5000 0.5000 0.5000  2 Rh 2.59
Rh 0.5000 0.5000 0.0000  2 In 2.59
I 0.0000 0.5000 0.5000  2 In 3.19

=====

No. 9
Here is a geometry-optimized Rb2InSI6 structure from Alexandria via LeMat-Bulk. Energies are from PBE.

Computed properties:
Density of states at the Fermi level: 9.29 states/eV per cell

a b c (Å): 8.5429 8.5429 11.7384
angles (deg): 90.00 90.00 90.00
Closest atoms and distances in Å follow each position.
Space group I4/mmm (No. 139)
Inequivalent atoms, fractional coordinates:
Rb 0.0000 0.5000 0.2500  12 I 4.21-4.28
In 0.0000 0.0000 0.0000  6 I 2.92-3.19
S 0.0000 0.0000 0.5000  2 I 2.68
I 0.0000 0.0000 0.2714  1 S 2.68
I 0.2417 0.2417 0.0000  1 In 2.92, 1 S 3.12

=====

No. 10
Here is a geometry-optimized Rb2InSbI6 structure from Alexandria via LeMat-Bulk. Energies are from PBE.

a b c (Å): 8.7818 8.7818 21.9414
angles (deg): 90.00 90.00 120.00
Closest atoms and distances in Å follow each position.
Space group R3 (No. 146, hexagonal axes)
Inequivalent atoms, fractional coordinates:
Rb 0.0000 0.0000 0.0000  6 I 3.76-3.88
Rb 0.0000 0.0000 0.4951  6 I 3.79-3.88
In 0.0000 0.0000 0.2169  6 I 3.31-3.38
Sb 0.0000 0.0000 0.7142  6 I 3.06-3.07
I 0.0137 0.4291 0.4593  1 Sb 3.06, 1 In 3.38
I 0.0963 0.7413 0.2982  1 Sb 3.07, 1 In 3.31

=====

What are the E_tot values for these records? In order: -2.515 -2.223 -2.646 -2.507 -2.675 -3.178 -2.893 -2.909 -2.443 -2.645 eV per atom.
What are the total magnetic moment values for these records? In order: 0.0 0.0 0.0 0.0 0.0 8.0 0.0 1.5 0.0 0.0 Bohr magnetons per cell.